{
  "formula": "GdYTlAg2",
  "functional": "GGA-PBE",
  "state": "relaxed",
  "lattice": [[3.540, 0.000, 0.000], [0.000, 2.297, 7.444], [0.000, -2.297, 7.444]],
  "species": ["Gd", "Y", "Tl", "Ag", "Ag"],
  "frac_coords": [[0.000, 0.000, 0.000], [0.000, 0.243, 0.243], [0.500, 0.622, 0.622], [0.500, 0.423, 0.423], [0.500, 0.820, 0.820]],
  "crystal_system": "orthorhombic",
  "dft_energy_ev_per_cell": -20.72
}